Material: Cd2Hg3Pb2
Method: DFT, PBE-GGA
State: optimized geometry

The structure belongs to space group C2/m (No. 12); the cell edges are 16.297, 3.344 and 7.668 Å and the angles 90.00°, 112.76° and 90.00°. The inequivalent atoms are Cd at (0.127, 0.000, 0.309), Hg at (0.000, 0.000, 0.500), Hg at (0.216, 0.000, 0.733) and Pb at (0.086, 0.500, 0.916).

As for the energy above the most stable polymorph in this dataset: 13.3 meV/atom. The density of states at the Fermi level is 0.35 states/eV/atom. Its size of the total moment is 0.0 Bohr magnetons per cell. As for the formation energy: 0.049 eV per atom. Its total energy is -1.401 eV per atom.